# 1
The following is a PBE-GGA calculation of a relaxed CrFe2As crystal, from Alexandria via LeMat-Bulk.

Geometry as POSCAR:
```
CrFe2As
1.0
8.150 0.000 0.000
0.000 3.018 0.000
-1.172 0.000 3.963
Cr Fe As
2 4 2
direct
0.000 0.000 0.000 Cr
0.500 0.500 0.000 Cr
0.263 0.000 0.873 Fe
0.495 0.000 0.497 Fe
0.763 0.500 0.873 Fe
0.995 0.500 0.497 Fe
0.261 0.500 0.365 As
0.761 0.000 0.365 As
```

**DOS at the Fermi energy**: 0.520 states/eV/atom
**VASP energy**: -61.797 eV/cell



# 2
The following is a PBE-GGA calculation of a relaxed Zr2CrRu crystal, from Alexandria via LeMat-Bulk.

Geometry as POSCAR:
```
Zr2CrRu
1.0
3.220 0.000 0.000
0.000 4.495 0.000
0.000 0.000 9.592
Zr Cr Ru
4 2 2
direct
0.000 0.000 0.000 Zr
0.000 0.500 0.233 Zr
0.500 0.000 0.733 Zr
0.500 0.500 0.500 Zr
0.000 0.500 0.756 Cr
0.500 0.000 0.256 Cr
0.000 0.000 0.480 Ru
0.500 0.500 0.980 Ru
```

**DOS at the Fermi energy**: 0.749 states/eV/atom
**VASP energy**: -72.883 eV/cell